[1]
The following is a DFT calculation (PBE-GGA) of crystalline K2PdAuSe at its relaxed geometry.

Crystal system: tetragonal
Fermi-level density of states in states/eV/f.u.: 2.34
Volume in Å³/atom: 36.28
Formation energy (no corrections) in eV per atom: -0.30
Total magnetic moment in μB/f.u.: 0.00

a b c (Å): 6.2828 4.5954 6.2828
angles (deg): 90.00 90.00 90.00
With the nearest neighbours (Å) after each atom.
Sites, in units of the cell vectors:
1 K 0.0000 0.0000 0.5000  2 Pd 3.14
2 K 0.5000 0.0000 0.0000  2 Pd 3.14
3 Au 0.5000 0.5000 0.5000  8 K 3.89
4 Se 0.0000 0.5000 0.0000  2 Pd 2.30
5 Pd 0.0000 0.0000 0.0000  2 Se 2.30

---

[2]
The following is a DFT calculation (PBE-GGA) of crystalline K2Sn4PdAu3 at its relaxed geometry.

Crystal system: tetragonal
Fermi-level density of states in states/eV/f.u.: 4.65
ΔE_f in meV per atom: -339
Volume in Å³/atom: 26.28
Total magnetic moment in μB/f.u.: 0.00

a b c (Å): 4.8708 4.8708 11.0767
angles (deg): 90.00 90.00 90.00
With the nearest neighbours (Å) after each atom.
Sites, in units of the cell vectors:
1 Au 0.5000 0.0000 0.8656  5 Sn 2.79-2.85
2 Au 0.0000 0.0000 0.5000  4 Sn 2.74
3 Au 0.0000 0.5000 0.1344  5 Sn 2.79-2.85
4 Pd 0.5000 0.5000 0.5000  4 Sn 2.74
5 Sn 0.0000 0.5000 0.3865  2 Pd 2.74, 3 Au 2.74-2.79
6 Sn 0.5000 0.5000 0.0000  4 Au 2.85
7 Sn 0.0000 0.0000 0.0000  4 Au 2.85
8 Sn 0.5000 0.0000 0.6135  2 Pd 2.74, 3 Au 2.74-2.79
9 K 0.0000 0.5000 0.7425  2 Pd 3.63, 6 Au 3.63-3.70, 9 Sn 3.73-3.94
10 K 0.5000 0.0000 0.2575  2 Pd 3.63, 6 Au 3.63-3.70, 9 Sn 3.73-3.94

---

[3]
The following is a DFT calculation (PBE-GGA) of crystalline KSn2PdAu at its relaxed geometry.

Crystal system: tetragonal
Fermi-level density of states in states/eV/f.u.: 2.52
ΔE_f in meV per atom: -190
Volume in Å³/atom: 34.62
Total magnetic moment in μB/f.u.: 0.00

a b c (Å): 5.0891 5.0890 6.6830
angles (deg): 90.00 90.00 90.00
With the nearest neighbours (Å) after each atom.
Sites, in units of the cell vectors:
1 Sn 0.0000 0.5000 0.9048  2 Pd 2.62, 2 Au 2.83
2 Sn 0.5000 0.0000 0.9048  2 Pd 2.62, 2 Au 2.83
3 Au 0.5000 0.5000 0.7185  4 Sn 2.83
4 K 0.0000 0.0000 0.4715  1 Pd 3.15
5 Pd 0.0000 0.0000 0.0004  4 Sn 2.62

---

Number 1: uncorrected energy -15.660 eV per cell. Number 2: uncorrected energy -36.623 eV per cell. Number 3: uncorrected energy -18.521 eV per cell.